No. 1
{
  "formula": "Li2Be15Cu2",
  "functional": "PBE",
  "state": "relaxed",
  "lattice_angstrom": [[-5.274, -0.303, -2.060], [0.503, -5.021, -2.587], [-2.225, -3.186, 4.129]],
  "species": ["Li", "Li", "Be", "Be", "Be", "Be", "Be", "Be", "Be", "Be", "Be", "Be", "Be", "Be", "Be", "Be", "Be", "Cu", "Cu"],
  "frac_coords": [[0.340, 0.340, 0.340], [0.660, 0.660, 0.660], [0.500, 0.000, 0.000], [0.000, 0.000, 0.500], [0.000, 0.500, 0.000], [0.000, 0.696, 0.304], [0.696, 0.304, 0.000], [0.304, 0.000, 0.696], [0.304, 0.696, 0.000], [0.696, 0.000, 0.304], [0.000, 0.304, 0.696], [0.160, 0.659, 0.659], [0.659, 0.659, 0.160], [0.659, 0.160, 0.659], [0.840, 0.341, 0.341], [0.341, 0.341, 0.840], [0.341, 0.840, 0.341], [0.105, 0.105, 0.105], [0.895, 0.895, 0.895]],
  "dos_ef_per_ev_cell": 1.0,
  "final_energy_ev_per_cell": -67.91,
  "spacegroup": "No. 166",
  "magmom_total_mub_per_cell": 0.00
}

=====

No. 2
{
  "formula": "Li2BeCu",
  "functional": "PBE",
  "state": "relaxed",
  "lattice_angstrom": [[2.476, 0.000, 0.000], [0.000, 2.476, 0.000], [0.000, 0.000, 8.001]],
  "species": ["Be", "Cu", "Li", "Li"],
  "frac_coords": [[0.500, 0.500, 0.250], [0.500, 0.500, 0.750], [0.000, 0.000, 0.002], [0.000, 0.000, 0.498]],
  "dos_ef_per_ev_cell": 1.7,
  "final_energy_ev_per_cell": -10.97,
  "spacegroup": "No. 123",
  "magmom_total_mub_per_cell": 0.00
}

=====

No. 3
{
  "formula": "LiBeCu2",
  "functional": "PBE",
  "state": "relaxed",
  "lattice_angstrom": [[4.429, -1.395, -2.495], [-1.310, 4.455, 2.495], [-3.192, 0.134, 4.192]],
  "species": ["Li", "Be", "Cu", "Cu"],
  "frac_coords": [[0.000, 0.000, 0.000], [0.000, 0.500, 0.500], [0.000, 0.274, 0.274], [0.000, 0.726, 0.726]],
  "dos_ef_per_ev_cell": 1.5,
  "final_energy_ev_per_cell": -12.70,
  "spacegroup": "No. 71",
  "magmom_total_mub_per_cell": 0.00
}

=====

No. 4
{
  "formula": "Li2BeCu",
  "functional": "PBE",
  "state": "relaxed",
  "lattice_angstrom": [[8.918, 0.015, 0.009], [8.558, 2.508, 0.009], [8.558, 1.235, 2.183]],
  "species": ["Be", "Cu", "Li", "Li"],
  "frac_coords": [[0.250, 0.250, 0.250], [0.750, 0.750, 0.750], [0.000, 0.000, 0.000], [0.500, 0.500, 0.500]],
  "dos_ef_per_ev_cell": 2.2,
  "final_energy_ev_per_cell": -11.01,
  "spacegroup": "No. 166",
  "magmom_total_mub_per_cell": 0.00
}

=====

No. 5
{
  "formula": "LiBe2Cu8",
  "functional": "PBE",
  "state": "relaxed",
  "lattice_angstrom": [[3.576, 0.000, -1.003], [-0.568, 5.382, -2.026], [0.022, -1.316, 6.953]],
  "species": ["Li", "Be", "Be", "Cu", "Cu", "Cu", "Cu", "Cu", "Cu", "Cu", "Cu"],
  "frac_coords": [[0.500, 0.000, 0.000], [0.225, 0.808, 0.451], [0.775, 0.192, 0.549], [0.604, 0.737, 0.207], [0.317, 0.563, 0.633], [0.149, 0.083, 0.298], [0.049, 0.370, 0.097], [0.851, 0.917, 0.702], [0.683, 0.437, 0.367], [0.396, 0.263, 0.793], [0.951, 0.630, 0.903]],
  "dos_ef_per_ev_cell": 3.2,
  "final_energy_ev_per_cell": -42.45,
  "spacegroup": "No. 12",
  "magmom_total_mub_per_cell": 0.00
}

=====

No. 6
{
  "formula": "LiBe2Cu",
  "functional": "PBE",
  "state": "relaxed",
  "lattice_angstrom": [[0.000, 2.705, 2.705], [2.705, 0.000, 2.705], [2.705, 2.705, 0.000]],
  "species": ["Be", "Be", "Cu", "Li"],
  "frac_coords": [[0.250, 0.250, 0.250], [0.750, 0.750, 0.750], [0.500, 0.500, 0.500], [0.000, 0.000, 0.000]],
  "dos_ef_per_ev_cell": 1.2,
  "final_energy_ev_per_cell": -13.35,
  "spacegroup": "No. 225",
  "polymorph_energy_ev_per_atom": 0.000,
  "magmom_total_mub_per_cell": 0.00
}

=====

No. 7
{
  "formula": "LiBe2Cu",
  "functional": "PBE",
  "state": "relaxed",
  "lattice_angstrom": [[2.608, 0.000, 0.000], [0.000, 2.608, 0.000], [0.000, 0.000, 6.186]],
  "species": ["Be", "Be", "Cu", "Li"],
  "frac_coords": [[0.000, 0.000, 0.050], [0.500, 0.500, 0.229], [0.000, 0.000, 0.455], [0.500, 0.500, 0.766]],
  "dos_ef_per_ev_cell": 1.1,
  "final_energy_ev_per_cell": -13.30,
  "spacegroup": "No. 99",
  "polymorph_energy_ev_per_atom": 0.011,
  "magmom_total_mub_per_cell": 0.00
}

=====

No. 8
{
  "formula": "LiBeCu2",
  "functional": "PBE",
  "state": "relaxed",
  "lattice_angstrom": [[-7.700, 0.819, 2.693], [-8.192, 0.179, 0.265], [-7.776, -1.646, 2.010]],
  "species": ["Be", "Cu", "Cu", "Li"],
  "frac_coords": [[0.750, 0.750, 0.750], [0.007, 0.007, 0.007], [0.493, 0.493, 0.493], [0.250, 0.250, 0.250]],
  "dos_ef_per_ev_cell": 1.0,
  "final_energy_ev_per_cell": -13.71,
  "spacegroup": "No. 166",
  "magmom_total_mub_per_cell": 0.00
}

=====

No. 9
{
  "formula": "LiBe2Cu",
  "functional": "PBE",
  "state": "relaxed",
  "lattice_angstrom": [[-0.081, -0.180, 2.377], [-2.161, -0.175, -0.996], [0.912, -7.984, -0.573]],
  "species": ["Be", "Be", "Cu", "Li"],
  "frac_coords": [[0.000, 0.000, 0.013], [0.000, 0.000, 0.487], [0.500, 0.500, 0.250], [0.500, 0.500, 0.750]],
  "dos_ef_per_ev_cell": 1.4,
  "final_energy_ev_per_cell": -12.89,
  "spacegroup": "No. 65",
  "polymorph_energy_ev_per_atom": 0.113,
  "magmom_total_mub_per_cell": 0.00
}

=====

No. 10
{
  "formula": "Li2BeCu",
  "functional": "PBE",
  "state": "relaxed",
  "lattice_angstrom": [[3.295, 0.000, 0.000], [0.000, 3.295, 0.000], [1.647, 1.647, 9.110]],
  "species": ["Be", "Be", "Cu", "Cu", "Li", "Li", "Li", "Li"],
  "frac_coords": [[0.500, 0.500, 0.000], [0.250, 0.750, 0.500], [0.000, 0.000, 0.000], [0.750, 0.250, 0.500], [0.624, 0.125, 0.250], [0.126, 0.625, 0.250], [0.375, 0.376, 0.750], [0.875, 0.874, 0.750]],
  "dos_ef_per_ev_cell": 2.1,
  "final_energy_ev_per_cell": -21.26,
  "spacegroup": "No. 122",
  "magmom_total_mub_per_cell": 0.00
}

=====

No. 11
{
  "formula": "Li2BeCu",
  "functional": "PBE",
  "state": "relaxed",
  "lattice_angstrom": [[-2.638, 3.210, 1.285], [-4.118, 1.324, 0.452], [-0.707, -1.380, 4.384]],
  "species": ["Be", "Cu", "Li", "Li"],
  "frac_coords": [[0.509, 0.509, 0.461], [0.239, 0.239, 0.289], [0.994, 0.994, 0.994], [0.758, 0.758, 0.756]],
  "dos_ef_per_ev_cell": 1.0,
  "final_energy_ev_per_cell": -11.31,
  "spacegroup": "No. 8",
  "magmom_total_mub_per_cell": 0.00
}

=====

No. 12
{
  "formula": "LiBeCu2",
  "functional": "PBE",
  "state": "relaxed",
  "lattice_angstrom": [[-2.036, 1.276, 0.877], [-2.361, -0.732, -0.659], [-1.653, -4.693, 6.486]],
  "species": ["Li", "Be", "Cu", "Cu"],
  "frac_coords": [[0.499, 0.499, 0.500], [0.667, 0.667, 0.000], [0.069, 0.069, 0.772], [0.264, 0.264, 0.228]],
  "dos_ef_per_ev_cell": 1.1,
  "final_energy_ev_per_cell": -13.73,
  "spacegroup": "No. 8",
  "magmom_total_mub_per_cell": 0.00
}

=====

No. 13
{
  "formula": "Li2BeCu",
  "functional": "PBE",
  "state": "relaxed",
  "lattice_angstrom": [[-3.854, -1.328, 0.063], [0.905, -3.151, -2.423], [2.057, 0.655, 3.458]],
  "species": ["Be", "Cu", "Li", "Li"],
  "frac_coords": [[0.500, 0.500, 0.000], [0.750, 0.250, 0.500], [0.000, 0.000, 0.000], [0.250, 0.750, 0.500]],
  "dos_ef_per_ev_cell": 1.6,
  "final_energy_ev_per_cell": -11.33,
  "spacegroup": "No. 119",
  "magmom_total_mub_per_cell": 0.00
}

=====

Number 1: calculated formation energy 0.00 eV per atom, calculated volume 178 Å³/cell. Number 2: calculated formation energy 0.17 eV per atom, calculated volume 49 Å³/cell. Number 3: calculated formation energy 0.28 eV per atom, calculated volume 50 Å³/cell. Number 4: calculated formation energy 0.16 eV per atom, calculated volume 48 Å³/cell. Number 5: calculated formation energy -0.03 eV per atom, calculated volume 124 Å³/cell. Number 6: calculated formation energy 0.03 eV per atom, calculated volume 40 Å³/cell. Number 7: calculated formation energy 0.04 eV per atom, calculated volume 42 Å³/cell. Number 8: calculated formation energy 0.03 eV per atom, calculated volume 46 Å³/cell. Number 9: calculated formation energy 0.14 eV per atom, calculated volume 42 Å³/cell. Number 10: calculated formation energy 0.25 eV per atom, calculated volume 99 Å³/cell. Number 11: calculated formation energy 0.09 eV per atom, calculated volume 48 Å³/cell. Number 12: calculated formation energy 0.02 eV per atom, calculated volume 46 Å³/cell. Number 13: calculated formation energy 0.08 eV per atom, calculated volume 47 Å³/cell.